P) Density functional theory data (PBE) for a relaxed Sr2LaRu crystal.

Cell lengths 7.807, 7.807, 7.807 Å; angles 90.00, 90.00, 90.00 degrees
Space group Fm-3m (No. 225)
Unique sites:
Sr (0.250, 0.250, 0.250)
La (0.000, 0.000, 0.000)
Ru (0.000, 0.000, 0.500)

Volume   29.74 Å³/atom

Q) Density functional theory data (PBE) for a relaxed Sr2LaRu crystal.

Cell lengths 3.598, 4.635, 17.557 Å; angles 90.00, 90.00, 90.00 degrees
Space group Immm (No. 71)
Unique sites:
Sr (0.000, 0.000, 0.159)
La (0.000, 0.500, 0.000)
Ru (0.000, 0.500, 0.500)

Volume   36.60 Å³/atom

R) Density functional theory data (PBE) for a relaxed Sr2LaRu crystal.

Cell lengths 7.962, 4.587, 8.827 Å; angles 90.00, 107.39, 90.00 degrees
Space group Cm (No. 8)
Unique sites:
Sr (0.000, 0.000, 0.000)
Sr (0.194, 0.000, 0.586)
La (0.430, 0.000, 0.294)
Ru (0.264, 0.500, 0.295)

Volume   38.45 Å³/atom

R) (5.3 kJ/mol of atoms below the next structure)

P) Density functional theory data (PBE) for a relaxed Sr2LaRu crystal.

Cell lengths 5.085, 5.131, 10.221 Å; angles 90.00, 90.00, 90.00 degrees
Space group Cmmm (No. 65)
Unique sites:
Sr (0.000, 0.000, 0.174)
La (0.000, 0.500, 0.500)
Ru (0.000, 0.500, 0.000)

Volume   33.34 Å³/atom

Q) Density functional theory data (PBE) for a relaxed Sr2LaRu crystal.

Cell lengths 3.876, 6.205, 11.924 Å; angles 90.00, 90.00, 90.00 degrees
Space group Imm2 (No. 44)
Unique sites:
Sr (0.000, 0.000, 0.000)
Sr (0.000, 0.500, 0.179)
La (0.000, 0.500, 0.828)
Ru (0.000, 0.000, 0.466)

Volume   35.85 Å³/atom

Q) (36.9 kJ/mol of atoms below the next structure)

P) Density functional theory data (PBE) for a relaxed SrLa2Ru crystal.

Cell lengths 7.682, 7.682, 7.682 Å; angles 90.00, 90.00, 90.00 degrees
Space group Fm-3m (No. 225)
Unique sites:
Sr (0.000, 0.000, 0.000)
La (0.250, 0.250, 0.250)
Ru (0.000, 0.000, 0.500)

Volume   28.33 Å³/atom

Q) Density functional theory data (PBE) for a relaxed SrLa2Ru crystal.

Cell lengths 4.2019, 4.2019, 29.5112 Å; angles 90.00, 90.00, 120.00 degrees
Space group R3m (No. 160, hexagonal axes)
Unique sites:
Sr (0.0000, 0.0000, 0.0000)
La (0.0000, 0.0000, 0.5490)
La (0.0000, 0.0000, 0.7818)
Ru (0.0000, 0.0000, 0.1651)

Volume   37.60 Å³/atom

R) Density functional theory data (PBE) for a relaxed SrLa2Ru crystal.

Cell lengths 3.895, 6.317, 10.900 Å; angles 90.00, 90.00, 90.00 degrees
Space group Immm (No. 71)
Unique sites:
Sr (0.000, 0.000, 0.000)
La (0.000, 0.500, 0.176)
Ru (0.000, 0.000, 0.500)

Volume   33.52 Å³/atom

Q) (7.5 kJ/mol of atoms below the next structure)

P) Density functional theory data (PBE) for a relaxed SrLa2Ru crystal.

Cell lengths 4.2143, 4.2143, 9.7227 Å; angles 90.00, 90.00, 120.00 degrees
Space group P-3m1 (No. 164)
Unique sites:
Sr (0.0000, 0.0000, 0.0000)
La (0.3333, 0.6667, 0.6516)
Ru (0.0000, 0.0000, 0.5000)

Volume   37.39 Å³/atom

Q) Density functional theory data (PBE) for a relaxed SrLa2Ru crystal.

Cell lengths 4.1921, 4.1921, 29.8705 Å; angles 90.00, 90.00, 120.00 degrees
Space group R-3m (No. 166, hexagonal axes)
Unique sites:
Sr (0.0000, 0.0000, 0.0000)
La (0.0000, 0.0000, 0.2166)
Ru (0.0000, 0.0000, 0.5000)

Volume   37.88 Å³/atom

R) Density functional theory data (PBE) for a relaxed SrLa2Ru crystal.

Cell lengths 4.627, 5.695, 10.457 Å; angles 90.00, 90.00, 90.00 degrees
Space group Cmmm (No. 65)
Unique sites:
Sr (0.000, 0.000, 0.000)
La (0.000, 0.500, 0.338)
Ru (0.000, 0.000, 0.500)

Volume   34.44 Å³/atom

S) Density functional theory data (PBE) for a relaxed SrLa2Ru crystal.

Cell lengths 4.571, 4.571, 10.852 Å; angles 90.00, 90.00, 90.00 degrees
Space group I-4m2 (No. 119)
Unique sites:
Sr (0.000, 0.000, 0.000)
La (0.000, 0.000, 0.500)
La (0.000, 0.500, 0.750)
Ru (0.000, 0.500, 0.250)

Volume   28.34 Å³/atom

P) (0.8 kJ/mol of atoms below the next structure)

P) Density functional theory data (PBE) for a relaxed SrLa2Ru crystal.

Cell lengths 11.706, 11.706, 11.706 Å; angles 90.00, 90.00, 90.00 degrees
Space group Fd-3m (No. 227, origin choice 2)
Unique sites:
Sr (0.125, 0.125, 0.125)
La (0.000, 0.000, 0.500)
Ru (0.125, 0.125, 0.625)

Volume   50.13 Å³/atom

Q) Density functional theory data (PBE) for a relaxed SrLa2Ru crystal.

Cell lengths 12.725, 3.927, 6.867 Å; angles 90.00, 122.29, 90.00 degrees
Space group Cm (No. 8)
Unique sites:
Sr (0.000, 0.000, 0.000)
La (0.147, 0.500, 0.635)
La (0.324, 0.500, 0.346)
Ru (0.264, 0.000, 0.540)

Volume   36.26 Å³/atom

R) Density functional theory data (PBE) for a relaxed SrLa2Ru crystal.

Cell lengths 7.641, 7.641, 7.641 Å; angles 90.00, 90.00, 90.00 degrees
Space group F-43m (No. 216)
Unique sites:
Sr (0.000, 0.000, 0.000)
La (0.000, 0.000, 0.500)
La (0.250, 0.250, 0.250)
Ru (0.250, 0.250, 0.750)

Volume   27.89 Å³/atom

Q) (19.9 kJ/mol of atoms below the next structure)

P) Density functional theory data (PBE) for a relaxed SrLa2Ru2 crystal.

Cell lengths 8.609, 8.609, 3.356 Å; angles 90.00, 90.00, 90.00 degrees
Space group P4/mbm (No. 127)
Unique sites:
Sr (0.000, 0.000, 0.000)
La (0.137, 0.363, 0.000)
Ru (0.170, 0.670, 0.500)

Volume   24.87 Å³/atom

Q) Density functional theory data (PBE) for a relaxed SrLa2Ru2 crystal.

Cell lengths 4.533, 4.533, 13.892 Å; angles 90.00, 90.00, 90.00 degrees
Space group I4/mmm (No. 139)
Unique sites:
Sr (0.000, 0.000, 0.000)
La (0.000, 0.000, 0.360)
Ru (0.000, 0.500, 0.250)

Volume   28.55 Å³/atom

P) (6.8 kJ/mol of atoms below the next structure)

P) Density functional theory data (PBE) for a relaxed Sr3LaRu crystal.

Cell lengths 6.014, 6.014, 6.014 Å; angles 90.00, 90.00, 90.00 degrees
Space group Pm-3m (No. 221)
Unique sites:
Sr (0.000, 0.000, 0.500)
La (0.000, 0.000, 0.000)
Ru (0.500, 0.500, 0.500)

Volume   43.51 Å³/atom

Q) Density functional theory data (PBE) for a relaxed Sr3LaRu crystal.

Cell lengths 5.810, 5.810, 5.810 Å; angles 90.00, 90.00, 90.00 degrees
Space group Pm-3m (No. 221)
Unique sites:
Sr (0.000, 0.000, 0.500)
La (0.500, 0.500, 0.500)
Ru (0.000, 0.000, 0.000)

Volume   39.23 Å³/atom

Q) (118.8 kJ/mol of atoms below the next structure)

P) Density functional theory data (PBE) for a relaxed SrLa2TlRu crystal.

Cell lengths 5.385, 5.385, 5.924 Å; angles 90.00, 90.00, 90.00 degrees
Space group P4/mmm (No. 123)
Unique sites:
Sr (0.000, 0.000, 0.000)
La (0.000, 0.500, 0.500)
Tl (0.500, 0.500, 0.000)
Ru (0.000, 0.000, 0.500)

Volume   34.35 Å³/atom

Q) Density functional theory data (PBE) for a relaxed SrLa2TlRu crystal.

Cell lengths 5.465, 5.465, 5.625 Å; angles 90.00, 90.00, 90.00 degrees
Space group P4/mmm (No. 123)
Unique sites:
Sr (0.000, 0.000, 0.000)
La (0.000, 0.500, 0.500)
Tl (0.500, 0.500, 0.000)
Ru (0.500, 0.500, 0.500)

Volume   33.59 Å³/atom

Q) (0.9 kJ/mol of atoms below the next structure)

P) Density functional theory data (PBE) for a relaxed SrLa2YRu crystal.

Cell lengths 5.442, 5.442, 6.068 Å; angles 90.00, 90.00, 90.00 degrees
Space group P4/mmm (No. 123)
Unique sites:
Sr (0.000, 0.000, 0.000)
La (0.000, 0.500, 0.500)
Y (0.500, 0.500, 0.000)
Ru (0.000, 0.000, 0.500)

Volume   35.94 Å³/atom

Q) Density functional theory data (PBE) for a relaxed SrLa2YRu crystal.

Cell lengths 5.833, 5.833, 4.919 Å; angles 90.00, 90.00, 90.00 degrees
Space group P4/mmm (No. 123)
Unique sites:
Sr (0.000, 0.000, 0.000)
La (0.000, 0.500, 0.000)
Y (0.500, 0.500, 0.500)
Ru (0.000, 0.000, 0.500)

Volume   33.47 Å³/atom

P) (104.8 kJ/mol of atoms below the next structure)

P) Density functional theory data (PBE) for a relaxed La2TaRu crystal.

Cell lengths 8.182, 8.182, 5.966 Å; angles 90.00, 90.00, 90.00 degrees
Space group I-42d (No. 122)
Unique sites:
La (0.203, 0.250, 0.125)
Ta (0.000, 0.000, 0.500)
Ru (0.000, 0.000, 0.000)

Volume   24.96 Å³/atom

Q) Density functional theory data (PBE) for a relaxed La2TaRu crystal.

Cell lengths 3.297, 3.295, 9.188 Å; angles 90.00, 90.14, 90.00 degrees
Space group Pm (No. 6)
Unique sites:
La (0.000, 0.000, 0.000)
La (0.493, 0.500, 0.370)
Ta (0.995, 0.000, 0.626)
Ru (0.497, 0.500, 0.769)

Volume   24.95 Å³/atom

R) Density functional theory data (PBE) for a relaxed La2TaRu crystal.

Cell lengths 3.250, 4.792, 5.943 Å; angles 90.00, 100.49, 90.00 degrees
Space group P2/m (No. 10)
Unique sites:
La (0.202, 0.000, 0.261)
Ta (0.500, 0.500, 0.000)
Ru (0.000, 0.500, 0.500)

Volume   22.75 Å³/atom

S) Density functional theory data (PBE) for a relaxed La2TaRu crystal.

Cell lengths 3.254, 4.390, 6.414 Å; angles 90.00, 90.00, 90.00 degrees
Space group Pmm2 (No. 25)
Unique sites:
La (0.000, 0.000, 0.000)
La (0.500, 0.500, 0.288)
Ta (0.500, 0.500, 0.720)
Ru (0.000, 0.000, 0.592)

Volume   22.91 Å³/atom

Q) (27.9 kJ/mol of atoms below the next structure)

P) Density functional theory data (PBE) for a relaxed LaTa3Ru crystal.

Cell lengths 4.912, 4.912, 4.912 Å; angles 90.00, 90.00, 90.00 degrees
Space group Pm-3m (No. 221)
Unique sites:
La (0.000, 0.000, 0.000)
Ta (0.000, 0.500, 0.500)
Ru (0.500, 0.500, 0.500)

Volume   23.70 Å³/atom

Q) Density functional theory data (PBE) for a relaxed LaTa3Ru crystal.

Cell lengths 4.818, 4.818, 4.818 Å; angles 90.00, 90.00, 90.00 degrees
Space group Pm-3m (No. 221)
Unique sites:
La (0.000, 0.000, 0.000)
Ta (0.000, 0.000, 0.500)
Ru (0.500, 0.500, 0.500)

Volume   22.37 Å³/atom

P) (172.3 kJ/mol of atoms below the next structure)